First-principles (PBE with a Hubbard U) data for crystalline TbMnTeO2 at its relaxed geometry, as listed in Alexandria.

a b c (Å): 3.883 3.883 12.976
angles (deg): 90.00 90.00 90.00
Space group I4mm (No. 107)
Symmetry-distinct sites (fractional):
1 Tb 0.000 0.000 0.000 x2
2 Mn 0.000 0.000 0.640 x2
3 Te 0.000 0.000 0.339 x2
4 O 0.000 0.500 0.088 x4

* E_tot: -6.99 eV/atom
* crystal system: tetragonal

First-principles (PBE with a Hubbard U) data for crystalline TbMnTeO6 at its relaxed geometry, as listed in Alexandria.

a b c (Å): 5.5527 5.5527 8.6784
angles (deg): 90.00 90.00 120.00
Space group P-31c (No. 163)
Symmetry-distinct sites (fractional):
1 Tb 0.3333 0.6667 0.2500 x2
2 Mn 0.0000 0.0000 0.0000 x2
3 Te 0.3333 0.6667 0.7500 x2
4 O 0.0455 0.3641 0.6262 x12

* E_tot: -6.70 eV/atom
* crystal system: trigonal

First-principles (PBE with a Hubbard U) data for crystalline TbMn2TlO6 at its relaxed geometry, as listed in Alexandria.

a b c (Å): 5.409 5.530 5.540
angles (deg): 94.83 118.69 115.53
Space group P1 (No. 1)
Symmetry-distinct sites (fractional):
1 Tb 0.000 0.000 0.000 x1
2 Mn 0.552 0.273 0.778 x1
3 Mn 0.552 0.784 0.268 x1
4 Tl 0.070 0.524 0.511 x1
5 O 0.028 0.435 0.065 x1
6 O 0.086 0.122 0.471 x1
7 O 0.441 0.022 0.049 x1
8 O 0.528 0.945 0.580 x1
9 O 0.572 0.607 0.962 x1
10 O 0.718 0.586 0.538 x1

* E_tot: -6.98 eV/atom
* crystal system: triclinic

First-principles (PBE with a Hubbard U) data for crystalline Tb2UMnO8 at its relaxed geometry, as listed in Alexandria.

a b c (Å): 6.921 7.205 6.689
angles (deg): 90.00 90.00 90.00
Space group Cmmm (No. 65)
Symmetry-distinct sites (fractional):
1 Tb 0.000 0.000 0.235 x4
2 U 0.000 0.500 0.500 x2
3 Mn 0.000 0.500 0.000 x2
4 O 0.000 0.325 0.241 x8
5 O 0.207 0.000 0.500 x4
6 O 0.225 0.000 0.000 x4

* E_tot: -8.42 eV/atom
* crystal system: orthorhombic

First-principles (PBE with a Hubbard U) data for crystalline TbUMnO6 at its relaxed geometry, as listed in Alexandria.

a b c (Å): 5.6917 5.6917 4.4178
angles (deg): 90.00 90.00 120.00
Space group P312 (No. 149)
Symmetry-distinct sites (fractional):
1 Tb 0.0000 0.0000 0.0000 x1
2 U 0.3333 0.6667 0.0000 x1
3 Mn 0.6667 0.3333 0.5000 x1
4 O 0.0109 0.3586 0.2427 x6

* E_tot: -8.50 eV/atom
* crystal system: trigonal

First-principles (PBE with a Hubbard U) data for crystalline Mn3TcO at its relaxed geometry, as listed in Alexandria.

a b c (Å): 4.216 4.216 4.216
angles (deg): 90.00 90.00 90.00
Space group Pm-3m (No. 221)
Symmetry-distinct sites (fractional):
1 Mn 0.000 0.000 0.500 x3
2 Tc 0.500 0.500 0.500 x1
3 O 0.000 0.000 0.000 x1

* E_tot: -7.44 eV/atom
* crystal system: cubic

Among the records above, which one has the lowest E_tot?
TbUMnO6

Copy entry 6 word for word.
First-principles (PBE with a Hubbard U) data for crystalline Mn3TcO at its relaxed geometry, as listed in Alexandria.

a b c (Å): 4.216 4.216 4.216
angles (deg): 90.00 90.00 90.00
Space group Pm-3m (No. 221)
Symmetry-distinct sites (fractional):
1 Mn 0.000 0.000 0.500 x3
2 Tc 0.500 0.500 0.500 x1
3 O 0.000 0.000 0.000 x1

* E_tot: -7.44 eV/atom
* crystal system: cubic

The lowest E_tot belongs to which entry?
TbUMnO6

What is the E_tot in the fifth record?
-8.50 eV/atom